A relaxed structure of KBe2Sb. Source: Alexandria, functional PBE-GGA.

a = 7.922 Å, b = 7.922 Å, c = 7.038 Å
α = 90.00°, β = 90.00°, γ = 90.00°
Space group I-42d (No. 122)
Inequivalent atoms, fractional coordinates:
K (0.000, 0.000, 0.000) [4 per cell]
Be (0.138, 0.250, 0.625) [8 per cell]
Sb (0.000, 0.000, 0.500) [4 per cell]

Properties
E_tot, eV/atom: -2.4893